LaBeV2Br | PBE | relaxed

## Properties
Magnetic moment, μB/atom: 1.16
Energy above the most stable polymorph in this dataset, eV/atom: 0.000
ΔE_f (raw), eV/atom: 0.519
Mass density, g cm⁻³: 4.8
N(E_F), states/eV/f.u.: 6.8

abc: 4.4682 4.4682 5.7451
angles: 90.00 90.00 90.00
Closest atoms and distances in Å follow each position.
Space group P4/mmm (No. 123)
Inequivalent atoms, fractional coordinates:
La (0.0000, 0.0000, 0.0000)  2 Be 2.87, 4 Br 3.16
Be (0.0000, 0.0000, 0.5000)  4 V 2.23
V (0.0000, 0.5000, 0.5000)  2 Be 2.23
Br (0.5000, 0.5000, 0.0000)  4 La 3.16